Record 1
# NaNiHgAs PBE optimized geometry
# Total energy (eV per atom): -2.667
data_NaNiHgAs
_chemical_formula_sum 'Na4 Ni4 Hg4 As4'
_cell_length_a 6.664
_cell_length_b 6.664
_cell_length_c 6.664
_cell_angle_alpha 90.00
_cell_angle_beta 90.00
_cell_angle_gamma 90.00
_space_group_name_H-M_alt 'F -4 3 m'
_space_group_IT_number 216
_space_group_name_Hall 'F -4 2 3'
loop_
_atom_site_label
_atom_site_fract_x
_atom_site_fract_y
_atom_site_fract_z
Na1 0.000 0.000 0.000
Ni1 0.250 0.250 0.250
Hg1 0.000 0.000 0.500
As1 0.250 0.250 0.750

Record 2
# CuAg3 PBE optimized geometry
# Total energy (eV per atom): -2.980
# ΔE_f (kJ/mol of atoms): 6.5
data_CuAg3
_chemical_formula_sum 'Cu2 Ag6'
_cell_length_a 4.953
_cell_length_b 2.888
_cell_length_c 9.450
_cell_angle_alpha 90.00
_cell_angle_beta 101.13
_cell_angle_gamma 90.00
_space_group_name_H-M_alt 'P 1 2/m 1'
_space_group_IT_number 10
_space_group_name_Hall '-P 2y'
loop_
_atom_site_label
_atom_site_fract_x
_atom_site_fract_y
_atom_site_fract_z
Cu1 0.122 0.000 0.379
Ag1 0.118 0.500 0.864
Ag2 0.362 0.500 0.614
Ag3 0.374 0.000 0.130

Record 3
# ZnGaAg2 PBE optimized geometry
# Total energy (eV per atom): -2.461
data_ZnGaAg2
_chemical_formula_sum 'Zn4 Ga4 Ag8'
_cell_length_a 6.513
_cell_length_b 6.513
_cell_length_c 6.513
_cell_angle_alpha 90.00
_cell_angle_beta 90.00
_cell_angle_gamma 90.00
_space_group_name_H-M_alt 'F -4 3 m'
_space_group_IT_number 216
_space_group_name_Hall 'F -4 2 3'
loop_
_atom_site_label
_atom_site_fract_x
_atom_site_fract_y
_atom_site_fract_z
Zn1 0.000 0.000 0.000
Ga1 0.250 0.250 0.750
Ag1 0.000 0.000 0.500
Ag2 0.250 0.250 0.250

Record 4
# AcNi PBE optimized geometry
# Total energy (eV per atom): -5.031
# ΔE_f (kJ/mol of atoms): -18.7
data_AcNi
_chemical_formula_sum 'Ac3 Ni3'
_cell_length_a 4.1710
_cell_length_b 4.1710
_cell_length_c 10.5348
_cell_angle_alpha 90.00
_cell_angle_beta 90.00
_cell_angle_gamma 120.00
_space_group_name_H-M_alt 'R -3 m'
_space_group_IT_number 166
_space_group_name_Hall '-R 3 2"'
loop_
_atom_site_label
_atom_site_fract_x
_atom_site_fract_y
_atom_site_fract_z
Ac1 0.0000 0.0000 0.0000
Ni1 0.0000 0.0000 0.5000

Record 5
# SbPdS PBE optimized geometry
# Total energy (eV per atom): -4.875
data_SbPdS
_chemical_formula_sum 'Sb4 Pd4 S4'
_cell_length_a 6.270
_cell_length_b 6.270
_cell_length_c 6.270
_cell_angle_alpha 90.00
_cell_angle_beta 90.00
_cell_angle_gamma 90.00
_space_group_name_H-M_alt 'P 21 3'
_space_group_IT_number 198
_space_group_name_Hall 'P 2ac 2ab 3'
loop_
_atom_site_label
_atom_site_fract_x
_atom_site_fract_y
_atom_site_fract_z
Sb1 0.121 0.379 0.621
Pd1 0.011 0.989 0.489
S1 0.112 0.112 0.112